Crystalline KBaNa2Pb at its relaxed geometry, computed with PBE-GGA.

Cell and atoms, written as POSCAR:
```
KBaNa2Pb
1.0
6.3029 0.0000 0.0000
0.0000 6.3029 0.0000
0.0000 0.0000 6.7113
Pb Ba Na K
1 1 2 1
Direct
0.0000 0.0000 0.0000
0.0000 0.0000 0.5000
0.0000 0.5000 0.0000
0.5000 0.0000 0.0000
0.5000 0.5000 0.5000
```

Summary:
Symmetry: P4/mmm (123)
Energy of formation from the pure elements: -0.03 eV per atom
Raw total energy: -9.53 eV/f.u.